1.
BaC2O4 (GGA-PBEsol, optimized geometry); raw formation energy = -1825 meV/atom; DFT total energy = -7.89 eV per atom; SG = P-1 (2); N(E_F) = 0.0 states/eV/f.u.
1.0
4.531 0.000 0.000
0.449 5.021 0.000
0.557 1.710 8.863
Ba C O
2 4 8
direct
0.139 0.010 0.254
0.861 0.990 0.746
0.365 0.501 0.559
0.371 0.605 0.014
0.629 0.395 0.986
0.635 0.499 0.441
0.195 0.717 0.546
0.204 0.544 0.131
0.343 0.288 0.658
0.347 0.826 0.919
0.653 0.174 0.081
0.657 0.712 0.342
0.796 0.456 0.869
0.805 0.283 0.454



2.
Na3CuO2 (GGA-PBEsol, optimized geometry); raw formation energy = -1101 meV/atom; DFT total energy = -4.27 eV per atom; SG = P4_2/mnm (136); offset from the most stable computed form = 0 meV/atom
1.0
9.379 0.000 0.000
0.000 9.379 0.000
0.000 0.000 4.558
Na Cu O
12 4 8
direct
0.022 0.346 0.000
0.146 0.854 0.500
0.154 0.522 0.500
0.346 0.022 0.000
0.354 0.354 0.000
0.478 0.846 0.500
0.522 0.154 0.500
0.646 0.646 0.000
0.654 0.978 0.000
0.846 0.478 0.500
0.854 0.146 0.500
0.978 0.654 0.000
0.172 0.172 0.500
0.328 0.672 0.000
0.672 0.328 0.000
0.828 0.828 0.500
0.034 0.303 0.500
0.197 0.534 0.000
0.303 0.034 0.500
0.466 0.803 0.000
0.534 0.197 0.000
0.697 0.966 0.500
0.803 0.466 0.000
0.966 0.697 0.500